Compound: Cs2TbGaSe4
Source: the Alexandria database
Functional: GGA-PBE
Structure: optimized geometry

```
Cs2TbGaSe4
1.0
0.000 7.595 13.379
3.206 0.000 13.379
3.206 7.595 0.000
Cs Tb Ga Se
4 2 2 8
Direct
0.055 0.055 0.695
0.305 0.305 0.945
0.695 0.695 0.055
0.945 0.945 0.305
0.125 0.125 0.125
0.875 0.875 0.875
0.375 0.375 0.375
0.625 0.625 0.625
0.006 0.639 0.550
0.305 0.550 0.639
0.361 0.994 0.695
0.450 0.695 0.994
0.550 0.305 0.006
0.639 0.006 0.305
0.695 0.450 0.361
0.994 0.361 0.450
```

Energy   -4.17 eV per atom
Energy relative to the elements, uncorrected   -1.2575 eV/atom
Space-group type   Fddd, No. 70